No. 1
# V2FeAu GGA-PBE relaxed
data_V2FeAu
_space_group_name_H-M_alt 'I -4 2 d'
_space_group_IT_number 122
_space_group_name_Hall 'I -4 2bw'
_cell_length_a 3.6462
_cell_length_b 3.6462
_cell_length_c 18.2353
_cell_angle_alpha 90.00
_cell_angle_beta 90.00
_cell_angle_gamma 90.00
loop_
_atom_site_label
_atom_site_type_symbol
_atom_site_fract_x
_atom_site_fract_y
_atom_site_fract_z
V1 V 0.2313 0.2500 0.1250
Fe1 Fe 0.0000 0.0000 0.0000
Au1 Au 0.0000 0.0000 0.5000
# ΔH_f (0 K) = 0.529 eV/atom
# ΔE to the lowest computed polymorph = 0.547 eV/atom
# Calculated total energy = -6.9656 eV per atom

No. 2
# CoPtRh2 GGA-PBE relaxed
data_CoPtRh2
_space_group_name_H-M_alt 'R 3 m'
_space_group_IT_number 160
_space_group_name_Hall 'R 3 -2"'
_cell_length_a 3.7687
_cell_length_b 3.7687
_cell_length_c 16.0041
_cell_angle_alpha 90.00
_cell_angle_beta 90.00
_cell_angle_gamma 120.00
loop_
_atom_site_label
_atom_site_type_symbol
_atom_site_fract_x
_atom_site_fract_y
_atom_site_fract_z
Co1 Co 0.0000 0.0000 0.0000
Pt1 Pt 0.0000 0.0000 0.1629
Rh1 Rh 0.0000 0.0000 0.5840
Rh2 Rh 0.0000 0.0000 0.7405
# ΔH_f (0 K) = 0.562 eV/atom
# Calculated total energy = -6.4007 eV per atom

No. 3
# Rb2FeSeI6 GGA-PBE relaxed
data_Rb2FeSeI6
_space_group_name_H-M_alt 'I 4/m m m'
_space_group_IT_number 139
_space_group_name_Hall '-I 4 2'
_cell_length_a 8.3633
_cell_length_b 8.3633
_cell_length_c 11.6701
_cell_angle_alpha 90.00
_cell_angle_beta 90.00
_cell_angle_gamma 90.00
loop_
_atom_site_label
_atom_site_type_symbol
_atom_site_fract_x
_atom_site_fract_y
_atom_site_fract_z
Rb1 Rb 0.0000 0.5000 0.2500
Fe1 Fe 0.0000 0.0000 0.0000
Se1 Se 0.0000 0.0000 0.5000
I1 I 0.0000 0.0000 0.2565
I2 I 0.2292 0.2292 0.0000
# Calculated total energy = -2.8565 eV per atom
# Formation energy without anion corrections = -0.538 eV per atom

No. 4
# PmCoP2 GGA-PBE relaxed
data_PmCoP2
_space_group_name_H-M_alt 'P 4/m m m'
_space_group_IT_number 123
_space_group_name_Hall '-P 4 2'
_cell_length_a 4.3078
_cell_length_b 4.3078
_cell_length_c 3.7511
_cell_angle_alpha 90.00
_cell_angle_beta 90.00
_cell_angle_gamma 90.00
loop_
_atom_site_label
_atom_site_type_symbol
_atom_site_fract_x
_atom_site_fract_y
_atom_site_fract_z
Pm1 Pm 0.0000 0.0000 0.0000
Co1 Co 0.5000 0.5000 0.0000
P1 P 0.0000 0.5000 0.5000
# ΔH_f (0 K) = -0.230 eV/atom
# ΔE to the lowest computed polymorph = 0.710 eV/atom
# Calculated total energy = -5.8991 eV per atom